# 1
This record from Alexandria describes a geometry-optimized AgOs2Ru structure. The functional is PBE-GGA.

```
data_AgOs2Ru
_chemical_formula_sum 'Ag1 Os2 Ru1'
_cell_length_a 4.8260
_cell_length_b 4.8260
_cell_length_c 4.7797
_cell_angle_alpha 80.46
_cell_angle_beta 80.46
_cell_angle_gamma 32.97
_symmetry_space_group_name_H-M 'P 1'
_symmetry_Int_Tables_number 1
loop_
_symmetry_equiv_pos_as_xyz
'x,y,z'
loop_
_atom_site_label
_atom_site_fract_x
_atom_site_fract_y
_atom_site_fract_z
Ru1 0.7500 0.7500 0.7500
Ag1 0.2500 0.2500 0.2500
Os1 0.4898 0.4898 0.5164
Os2 0.0102 0.0102 0.9836
```

DOS at the Fermi energy ... 5.39 states/eV/cell
Raw total energy ... -0.5964 Ry per atom
Energy of formation from the pure elements ... 533 meV per atom
SG ... C2/m

***

# 2
This record from Alexandria describes a geometry-optimized AgOs2Ru structure. The functional is PBE-GGA.

```
data_AgOs2Ru
_chemical_formula_sum 'Ag1 Os2 Ru1'
_cell_length_a 4.4160
_cell_length_b 4.4160
_cell_length_c 4.4160
_cell_angle_alpha 60.00
_cell_angle_beta 60.00
_cell_angle_gamma 60.00
_symmetry_space_group_name_H-M 'P 1'
_symmetry_Int_Tables_number 1
loop_
_symmetry_equiv_pos_as_xyz
'x,y,z'
loop_
_atom_site_label
_atom_site_fract_x
_atom_site_fract_y
_atom_site_fract_z
Ru1 0.0000 0.0000 0.0000
Ag1 0.5000 0.5000 0.5000
Os1 0.7500 0.7500 0.7500
Os2 0.2500 0.2500 0.2500
```

DOS at the Fermi energy ... 4.89 states/eV/cell
Raw total energy ... -0.5639 Ry per atom
Energy of formation from the pure elements ... 975 meV per atom
SG ... Fm-3m